Compound: KYP2S
Source: the Alexandria database
Functional: PBE
Structure: relaxed

* DFT total energy: -4.739 eV per atom
* magnetization: 1.5 μB/cell
* DOS at the Fermi energy: 0.74 states/eV per atom
* SG: No. 123
* uncorrected formation energy: -0.2372 eV per atom

a = 5.406 Å, b = 5.406 Å, c = 5.319 Å
α = 90.00°, β = 90.00°, γ = 90.00°
Site moments in Bohr magnetons follow the coordinates.
Atoms (fractional coordinates):
K: 0.500 0.500 0.500  0.00
P: 0.000 0.500 0.000  0.26
P: 0.500 0.000 0.000  0.26
Y: 0.000 0.000 0.000  -0.01
S: 0.000 0.000 0.500  0.20